Compound: Tb2Dy6Y
Source: Alexandria
Functional: PBE
Structure: relaxed

POSCAR file:
```
Tb2Dy6Y
1.0
3.553 0.000 0.000
-0.011 8.687 0.000
-1.767 -0.004 9.222
Tb Dy Y
2 6 1
Cartesian
-0.005 2.905 1.028
1.780 5.778 8.194
0.003 0.001 3.083
0.000 5.790 5.123
0.002 2.888 7.164
1.774 5.794 2.057
1.775 2.892 4.098
1.772 8.681 6.139
1.777 0.000 0.000
```

The calculation puts the energy relative to the lowest polymorph listed for this composition at 0 meV/atom. The symmetry is P-1, No. 2. The energy of formation from the pure elements comes out at 0.017 eV per atom. The value obtained for the volume is 284.6 Å³ per cell. As for the crystal system: triclinic. The density is 8.1 g cm⁻³. For the total energy, the calculation gives -4.80 eV per atom. As for the total magnetic moment: 0.00 μB per cell.

=====

Compound: Pm2ThBi3
Source: Alexandria
Functional: PBE
Structure: relaxed

POSCAR file:
```
Pm2ThBi3
1.0
-2.298 3.245 6.857
2.298 -3.245 6.857
2.298 3.245 -6.857
Pm Th Bi
2 1 3
Cartesian
0.000 0.000 2.285
0.000 0.000 11.428
0.000 0.000 6.857
2.298 0.000 0.000
2.298 0.000 4.570
0.000 3.245 2.287
```

The symmetry is Immm, No. 71. The energy of formation from the pure elements comes out at -0.831 eV per atom. The value obtained for the volume is 204.5 Å³ per cell. As for the crystal system: orthorhombic. The density is 9.3 g cm⁻³. For the total energy, the calculation gives -5.59 eV per atom. As for the total magnetic moment: 0.00 μB per cell.

=====

Compound: Cu2SiOs
Source: Alexandria
Functional: PBE
Structure: relaxed

POSCAR file:
```
Cu2SiOs
1.0
2.757 0.000 0.000
0.000 3.729 0.000
-1.372 0.000 5.011
Cu Si Os
2 1 1
Cartesian
0.000 0.000 0.000
0.006 1.864 4.025
-0.001 0.000 2.512
1.376 1.864 1.642
```

The symmetry is Pm, No. 6. The value obtained for the volume is 51.5 Å³ per cell. As for the crystal system: monoclinic. The density is 11.1 g cm⁻³. For the total energy, the calculation gives -6.20 eV per atom. As for the total magnetic moment: 0.00 μB per cell. Its uncorrected formation energy is 0.012 eV per atom.

=====

Compound: CeHo2Ga
Source: Alexandria
Functional: PBE
Structure: relaxed

POSCAR file:
```
CeHo2Ga
1.0
3.473 0.000 0.000
0.000 3.473 0.000
0.000 0.000 8.764
Ce Ho Ga
1 2 1
Cartesian
0.000 0.000 0.000
1.736 1.736 2.517
1.736 1.736 6.247
0.000 0.000 4.382
```

The calculation puts the energy relative to the lowest polymorph listed for this composition at 0 meV/atom. The symmetry is P4/mmm, No. 123. The energy of formation from the pure elements comes out at -0.247 eV per atom. The value obtained for the volume is 105.7 Å³ per cell. As for the crystal system: tetragonal. The density is 8.5 g cm⁻³. For the total energy, the calculation gives -4.78 eV per atom. As for the total magnetic moment: 0.73 μB per cell.

=====

Compound: RbSrPd4
Source: Alexandria
Functional: PBE
Structure: relaxed

POSCAR file:
```
RbSrPd4
1.0
0.000 3.994 3.994
3.994 0.000 3.994
3.994 3.994 0.000
Rb Sr Pd
1 1 4
Cartesian
0.000 0.000 0.000
5.991 5.991 5.991
2.998 2.998 2.998
4.990 4.990 2.998
4.990 2.998 4.990
2.998 4.990 4.990
```

The symmetry is F-43m, No. 216. The energy of formation from the pure elements comes out at -0.301 eV per atom. The value obtained for the volume is 127.4 Å³ per cell. As for the crystal system: cubic. The density is 7.8 g cm⁻³. For the total energy, the calculation gives -4.20 eV per atom. As for the total magnetic moment: 0.00 μB per cell.

=====

Compound: AlTeW2
Source: Alexandria
Functional: PBE
Structure: relaxed

POSCAR file:
```
AlTeW2
1.0
3.359 0.000 0.000
0.000 4.450 0.000
0.000 0.000 4.690
Al Te W
1 1 2
Cartesian
0.000 0.000 0.000
1.679 0.000 2.345
0.000 2.225 2.345
1.679 2.225 0.000
```

The calculation puts the energy relative to the lowest polymorph listed for this composition at 408 meV/atom. The symmetry is Pmmm, No. 47. The value obtained for the volume is 70.1 Å³ per cell. As for the crystal system: orthorhombic. The density is 12.4 g cm⁻³. For the total energy, the calculation gives -7.50 eV per atom. As for the total magnetic moment: 0.00 μB per cell. Its uncorrected formation energy is 0.700 eV per atom.

=====

Compound: CePrSm2Tl4
Source: Alexandria
Functional: PBE
Structure: relaxed

POSCAR file:
```
CePrSm2Tl4
1.0
2.753 1.589 8.995
-2.753 1.589 8.995
0.000 -3.178 8.995
Ce Pr Sm Tl
1 1 2 4
Cartesian
0.000 0.000 0.000
0.000 0.000 13.492
0.000 0.000 6.742
0.000 0.000 20.242
0.000 0.000 3.361
0.000 0.000 10.107
0.000 0.000 16.876
0.000 0.000 23.622
```

The symmetry is R-3m, No. 166. The energy of formation from the pure elements comes out at -0.337 eV per atom. The value obtained for the volume is 236.1 Å³ per cell. As for the crystal system: trigonal. The density is 9.8 g cm⁻³. For the total energy, the calculation gives -4.04 eV per atom. As for the total magnetic moment: 1.03 μB per cell.

=====

Compound: YTe2Mo
Source: Alexandria
Functional: PBE
Structure: relaxed

POSCAR file:
```
YTe2Mo
1.0
2.226 1.285 8.972
-2.226 1.285 8.972
0.000 -2.571 8.972
Y Te Mo
1 2 1
Cartesian
0.000 0.000 0.000
0.000 0.000 10.684
0.000 0.000 16.231
0.000 0.000 13.457
```

The calculation puts the energy relative to the lowest polymorph listed for this composition at 448 meV/atom. The symmetry is R-3m, No. 166. The value obtained for the volume is 154.0 Å³ per cell. As for the crystal system: trigonal. The density is 4.7 g cm⁻³. For the total energy, the calculation gives -5.83 eV per atom. As for the total magnetic moment: 4.99 μB per cell. Its uncorrected formation energy is 0.065 eV per atom.

=====

Compound: PmNd2Er5
Source: Alexandria
Functional: PBE
Structure: relaxed

POSCAR file:
```
PmNd2Er5
1.0
8.130 -4.945 0.000
8.130 4.945 0.000
-0.886 0.000 6.433
Pm Nd Er
2 4 10
Cartesian
4.065 2.473 0.000
3.622 -2.473 3.217
6.089 2.511 5.702
8.843 2.511 3.948
6.532 -2.511 2.485
9.286 -2.511 0.731
1.049 0.881 4.144
1.492 -0.881 0.927
4.518 0.884 3.074
4.075 -0.884 6.290
7.909 0.573 1.608
7.466 -0.573 4.825
11.300 0.884 0.143
10.857 -0.884 3.359
13.883 0.881 5.506
14.326 -0.881 2.290
```

The calculation puts the energy relative to the lowest polymorph listed for this composition at 155 meV/atom. The symmetry is C2/c, No. 15. The energy of formation from the pure elements comes out at 0.176 eV per atom. The value obtained for the volume is 517.3 Å³ per cell. As for the crystal system: monoclinic. The density is 8.2 g cm⁻³. For the total energy, the calculation gives -4.46 eV per atom. As for the total magnetic moment: 0.00 μB per cell.

=====

Compound: FePRu2
Source: Alexandria
Functional: PBE
Structure: relaxed

POSCAR file:
```
FePRu2
1.0
2.790 0.000 0.000
0.000 2.790 0.000
0.000 0.000 6.364
Fe P Ru
1 1 2
Cartesian
0.000 0.000 0.000
1.395 1.395 1.159
0.000 0.000 2.701
1.395 1.395 4.546
```

The symmetry is P4mm, No. 99. The energy of formation from the pure elements comes out at -0.116 eV per atom. The value obtained for the volume is 49.5 Å³ per cell. As for the crystal system: tetragonal. The density is 9.7 g cm⁻³. For the total energy, the calculation gives -8.22 eV per atom. As for the total magnetic moment: 1.00 μB per cell.

=====

Compound: Pm6Sm3Y2Mg
Source: Alexandria
Functional: PBE
Structure: relaxed

POSCAR file:
```
Pm6Sm3Y2Mg
1.0
3.127 -5.422 0.000
3.127 5.422 0.000
-2.100 0.000 11.686
Pm Sm Y Mg
6 3 2 1
Cartesian
1.024 1.797 2.881
-0.013 0.000 8.788
1.024 -1.797 2.881
3.129 1.797 8.806
4.167 0.000 2.899
3.129 -1.797 8.806
2.077 3.615 5.843
2.077 0.000 5.843
2.077 -3.615 5.843
3.127 1.805 0.000
3.127 -1.805 0.000
0.000 0.000 0.000
```

The symmetry is C2/m, No. 12. The energy of formation from the pure elements comes out at 0.023 eV per atom. The value obtained for the volume is 396.3 Å³ per cell. As for the crystal system: monoclinic. The density is 6.4 g cm⁻³. For the total energy, the calculation gives -4.74 eV per atom. As for the total magnetic moment: 0.00 μB per cell.

=====

Compound: LaHf2Ga2
Source: Alexandria
Functional: PBE
Structure: relaxed

POSCAR file:
```
LaHf2Ga2
1.0
-2.168 2.168 6.221
2.168 -2.168 6.221
2.168 2.168 -6.221
La Hf Ga
1 2 2
Cartesian
0.000 0.000 0.000
2.168 0.000 3.110
0.000 2.168 3.110
0.000 0.000 4.942
0.000 0.000 7.500
```

The calculation puts the energy relative to the lowest polymorph listed for this composition at 0 meV/atom. The symmetry is I4/mmm, No. 139. The energy of formation from the pure elements comes out at -0.374 eV per atom. The value obtained for the volume is 117.0 Å³ per cell. As for the crystal system: tetragonal. The density is 9.0 g cm⁻³. For the total energy, the calculation gives -6.55 eV per atom. As for the total magnetic moment: 0.00 μB per cell.